[1]
The following is a PBE calculation of crystalline NbCoReSi at its relaxed geometry, from OQMD.

Geometry as CIF:
```
data_NbCoReSi
_chemical_formula_sum 'Nb4 Co4 Re4 Si4'
_cell_length_a 6.0699
_cell_length_b 6.0699
_cell_length_c 6.0699
_cell_angle_alpha 90.00
_cell_angle_beta 90.00
_cell_angle_gamma 90.00
_symmetry_space_group_name_H-M 'F -4 3 m'
_symmetry_Int_Tables_number 216
_symmetry_space_group_name_Hall 'F -4 2 3'
loop_
_atom_site_label
_atom_site_type_symbol
_atom_site_fract_x
_atom_site_fract_y
_atom_site_fract_z
Nb1 Nb 0.0000 0.0000 0.0000
Co1 Co 0.2500 0.2500 0.7500
Re1 Re 0.2500 0.2500 0.2500
Si1 Si 0.0000 0.0000 0.5000
```

## Properties
DFT total energy: -8.955 eV per atom
Distance to the lowest polymorph of the same formula: 0.0 kJ/mol of atoms


[2]
The following is a PBE calculation of crystalline AcHoAs at its relaxed geometry, from OQMD.

Geometry as CIF:
```
data_AcHoAs
_chemical_formula_sum 'Ac4 Ho4 As4'
_cell_length_a 7.1907
_cell_length_b 7.1907
_cell_length_c 7.1907
_cell_angle_alpha 90.00
_cell_angle_beta 90.00
_cell_angle_gamma 90.00
_symmetry_space_group_name_H-M 'F -4 3 m'
_symmetry_Int_Tables_number 216
_symmetry_space_group_name_Hall 'F -4 2 3'
loop_
_atom_site_label
_atom_site_type_symbol
_atom_site_fract_x
_atom_site_fract_y
_atom_site_fract_z
Ac1 Ac 0.0000 0.0000 0.0000
Ho1 Ho 0.0000 0.0000 0.5000
As1 As 0.2500 0.2500 0.2500
```

## Properties
DFT total energy: -5.060 eV per atom
Distance to the lowest polymorph of the same formula: 0.0 kJ/mol of atoms


[3]
The following is a PBE calculation of crystalline NdDy2Cu4Ge4 at its relaxed geometry, from OQMD.

Geometry as CIF:
```
data_NdDy2Cu4Ge4
_chemical_formula_sum 'Nd2 Dy4 Cu8 Ge8'
_cell_length_a 4.2154
_cell_length_b 6.7419
_cell_length_c 14.0408
_cell_angle_alpha 90.00
_cell_angle_beta 90.00
_cell_angle_gamma 90.00
_symmetry_space_group_name_H-M 'I m m m'
_symmetry_Int_Tables_number 71
_symmetry_space_group_name_Hall '-I 2 2'
loop_
_atom_site_label
_atom_site_type_symbol
_atom_site_fract_x
_atom_site_fract_y
_atom_site_fract_z
Nd1 Nd 0.0000 0.0000 0.0000
Dy1 Dy 0.0000 0.5000 0.1303
Cu1 Cu 0.0000 0.3102 0.3307
Ge1 Ge 0.0000 0.0000 0.2185
Ge2 Ge 0.0000 0.1868 0.5000
```

## Properties
DFT total energy: -4.930 eV per atom


[4]
The following is a PBE calculation of crystalline CsErO3 at its relaxed geometry, from OQMD.

Geometry as CIF:
```
data_CsErO3
_chemical_formula_sum 'Cs6 Er6 O18'
_cell_length_a 6.3445
_cell_length_b 6.3445
_cell_length_c 15.4102
_cell_angle_alpha 90.00
_cell_angle_beta 90.00
_cell_angle_gamma 120.00
_symmetry_space_group_name_H-M 'R -3 c'
_symmetry_Int_Tables_number 167
_symmetry_space_group_name_Hall '-R 3 2"c'
loop_
_atom_site_label
_atom_site_type_symbol
_atom_site_fract_x
_atom_site_fract_y
_atom_site_fract_z
Cs1 Cs 0.0000 0.0000 0.2500
Er1 Er 0.0000 0.0000 0.0000
O1 O 0.0000 0.4963 0.2500
```

## Properties
DFT total energy: -5.929 eV per atom


[5]
The following is a PBE calculation of crystalline LaPrNi2B2Pt6 at its relaxed geometry, from OQMD.

Geometry as CIF:
```
data_LaPrNi2B2Pt6
_chemical_formula_sum 'La1 Pr1 Ni2 B2 Pt6'
_cell_length_a 5.4841
_cell_length_b 5.4841
_cell_length_c 7.3884
_cell_angle_alpha 90.00
_cell_angle_beta 90.00
_cell_angle_gamma 120.00
_symmetry_space_group_name_H-M 'P 6/m m m'
_symmetry_Int_Tables_number 191
_symmetry_space_group_name_Hall '-P 6 2'
loop_
_atom_site_label
_atom_site_type_symbol
_atom_site_fract_x
_atom_site_fract_y
_atom_site_fract_z
La1 La 0.0000 0.0000 0.0000
Pr1 Pr 0.0000 0.0000 0.5000
Ni1 Ni 0.3333 0.6667 0.0000
B1 B 0.3333 0.6667 0.5000
Pt1 Pt 0.0000 0.5000 0.2886
```

## Properties
DFT total energy: -6.593 eV per atom
Distance to the lowest polymorph of the same formula: 0.0 kJ/mol of atoms


[6]
The following is a PBE calculation of crystalline SbOs at its relaxed geometry, from OQMD.

Geometry as CIF:
```
data_SbOs
_chemical_formula_sum 'Sb4 Os4'
_cell_length_a 5.9153
_cell_length_b 5.9153
_cell_length_c 5.9153
_cell_angle_alpha 90.00
_cell_angle_beta 90.00
_cell_angle_gamma 90.00
_symmetry_space_group_name_H-M 'F -4 3 m'
_symmetry_Int_Tables_number 216
_symmetry_space_group_name_Hall 'F -4 2 3'
loop_
_atom_site_label
_atom_site_type_symbol
_atom_site_fract_x
_atom_site_fract_y
_atom_site_fract_z
Sb1 Sb 0.0000 0.0000 0.0000
Os1 Os 0.2500 0.2500 0.2500
```

## Properties
DFT total energy: -6.734 eV per atom


What did the third record say?
The following is a PBE calculation of crystalline NdDy2Cu4Ge4 at its relaxed geometry, from OQMD.

Geometry as CIF:
```
data_NdDy2Cu4Ge4
_chemical_formula_sum 'Nd2 Dy4 Cu8 Ge8'
_cell_length_a 4.2154
_cell_length_b 6.7419
_cell_length_c 14.0408
_cell_angle_alpha 90.00
_cell_angle_beta 90.00
_cell_angle_gamma 90.00
_symmetry_space_group_name_H-M 'I m m m'
_symmetry_Int_Tables_number 71
_symmetry_space_group_name_Hall '-I 2 2'
loop_
_atom_site_label
_atom_site_type_symbol
_atom_site_fract_x
_atom_site_fract_y
_atom_site_fract_z
Nd1 Nd 0.0000 0.0000 0.0000
Dy1 Dy 0.0000 0.5000 0.1303
Cu1 Cu 0.0000 0.3102 0.3307
Ge1 Ge 0.0000 0.0000 0.2185
Ge2 Ge 0.0000 0.1868 0.5000
```

## Properties
DFT total energy: -4.930 eV per atom


- Look up the DFT total energy of the second one.
  -5.060 eV per atom